# 1
DFT (PBE) results for a relaxed structure of CoSCl.

- E (eV per atom) = -4.86
- crystal system = orthorhombic
- formation energy (no corrections) (eV per atom) = -0.50

Geometry as CIF:
```
data_CoSCl
_chemical_formula_sum 'Co2 S2 Cl2'
_cell_length_a 3.3069
_cell_length_b 4.4327
_cell_length_c 8.2407
_cell_angle_alpha 90.00
_cell_angle_beta 90.00
_cell_angle_gamma 90.00
_symmetry_space_group_name_H-M 'P m m n'
_symmetry_Int_Tables_number 59
loop_
_symmetry_equiv_pos_as_xyz
'x,y,z'
'-x,-y,-z'
'-x+1/2,-y+1/2,z'
'x+1/2,y+1/2,-z'
'x+1/2,-y,-z'
'-x+1/2,y,z'
'-x,y+1/2,-z'
'x,-y+1/2,z'
loop_
_atom_site_label
_atom_site_fract_x
_atom_site_fract_y
_atom_site_fract_z
Co1 0.2500 0.2500 0.1227
S1 0.2500 0.7500 0.0549
Cl1 0.2500 0.7500 0.6858
```



# 2
DFT (PBE) results for a relaxed structure of CoS2Cl.

- energy above the lowest structure with this stoichiometry (meV per atom) = 0
- E (eV per atom) = -4.54
- crystal system = trigonal
- formation energy (no corrections) (eV per atom) = -0.24

Geometry as CIF:
```
data_CoS2Cl
_chemical_formula_sum 'Co3 S6 Cl3'
_cell_length_a 3.4456
_cell_length_b 3.4456
_cell_length_c 20.4503
_cell_angle_alpha 90.00
_cell_angle_beta 90.00
_cell_angle_gamma 120.00
_symmetry_space_group_name_H-M 'R -3 m'
_symmetry_Int_Tables_number 166
_symmetry_space_group_name_Hall '-R 3 2"'
loop_
_atom_site_label
_atom_site_fract_x
_atom_site_fract_y
_atom_site_fract_z
Co1 0.0000 0.0000 0.0000
S1 0.0000 0.0000 0.3853
Cl1 0.0000 0.0000 0.5000
```



# 3
DFT (PBE) results for a relaxed structure of CoS8Cl2.

- E (eV per atom) = -4.06
- crystal system = triclinic
- formation energy (no corrections) (eV per atom) = -0.08

Geometry as CIF:
```
data_CoS8Cl2
_chemical_formula_sum 'Co1 S8 Cl2'
_cell_length_a 6.6284
_cell_length_b 7.2951
_cell_length_c 7.8519
_cell_angle_alpha 87.41
_cell_angle_beta 65.51
_cell_angle_gamma 74.11
_symmetry_space_group_name_H-M 'P -1'
_symmetry_Int_Tables_number 2
_symmetry_space_group_name_Hall '-P 1'
loop_
_atom_site_label
_atom_site_fract_x
_atom_site_fract_y
_atom_site_fract_z
Co1 0.0000 0.0000 0.0000
S1 0.1588 0.2227 0.0426
S2 0.2482 0.1805 0.2480
S3 0.3114 0.7803 0.0079
S4 0.3722 0.8231 0.2196
Cl1 0.2117 0.0009 0.6897
```



# 4
DFT (PBE) results for a relaxed structure of CoS2Cl.

- energy above the lowest structure with this stoichiometry (meV per atom) = 269
- E (eV per atom) = -4.28
- crystal system = tetragonal
- formation energy (no corrections) (eV per atom) = 0.03

Geometry as CIF:
```
data_CoS2Cl
_chemical_formula_sum 'Co4 S8 Cl4'
_cell_length_a 6.0410
_cell_length_b 6.0410
_cell_length_c 8.8807
_cell_angle_alpha 90.00
_cell_angle_beta 90.00
_cell_angle_gamma 90.00
_symmetry_space_group_name_H-M 'I -4 2 d'
_symmetry_Int_Tables_number 122
_symmetry_space_group_name_Hall 'I -4 2bw'
loop_
_atom_site_label
_atom_site_fract_x
_atom_site_fract_y
_atom_site_fract_z
Co1 0.0000 0.0000 0.0000
S1 0.1506 0.2500 0.1250
Cl1 0.0000 0.0000 0.5000
```



# 5
DFT (PBE) results for a relaxed structure of CoS2Cl.

- energy above the lowest structure with this stoichiometry (meV per atom) = 165
- E (eV per atom) = -4.38
- crystal system = trigonal
- formation energy (no corrections) (eV per atom) = -0.08

Geometry as CIF:
```
data_CoS2Cl
_chemical_formula_sum 'Co3 S6 Cl3'
_cell_length_a 3.3874
_cell_length_b 3.3874
_cell_length_c 19.9993
_cell_angle_alpha 90.00
_cell_angle_beta 90.00
_cell_angle_gamma 120.00
_symmetry_space_group_name_H-M 'R -3 m'
_symmetry_Int_Tables_number 166
_symmetry_space_group_name_Hall '-R 3 2"'
loop_
_atom_site_label
_atom_site_fract_x
_atom_site_fract_y
_atom_site_fract_z
Co1 0.0000 0.0000 0.0000
S1 0.0000 0.0000 0.2783
Cl1 0.0000 0.0000 0.5000
```



# 6
DFT (PBE) results for a relaxed structure of CoSCl2.

- energy above the lowest structure with this stoichiometry (meV per atom) = 686
- E (eV per atom) = -2.86
- crystal system = cubic
- formation energy (no corrections) (eV per atom) = 0.87

Geometry as CIF:
```
data_CoSCl2
_chemical_formula_sum 'Co4 S4 Cl8'
_cell_length_a 6.5361
_cell_length_b 6.5361
_cell_length_c 6.5361
_cell_angle_alpha 90.00
_cell_angle_beta 90.00
_cell_angle_gamma 90.00
_symmetry_space_group_name_H-M 'F m -3 m'
_symmetry_Int_Tables_number 225
_symmetry_space_group_name_Hall '-F 4 2 3'
loop_
_atom_site_label
_atom_site_fract_x
_atom_site_fract_y
_atom_site_fract_z
Co1 0.0000 0.0000 0.0000
S1 0.0000 0.0000 0.5000
Cl1 0.2500 0.2500 0.2500
```



# 7
DFT (PBE) results for a relaxed structure of CoSCl2.

- energy above the lowest structure with this stoichiometry (meV per atom) = 0
- E (eV per atom) = -3.54
- crystal system = trigonal
- formation energy (no corrections) (eV per atom) = 0.19

Geometry as CIF:
```
data_CoSCl2
_chemical_formula_sum 'Co3 S3 Cl6'
_cell_length_a 3.5463
_cell_length_b 3.5463
_cell_length_c 21.9854
_cell_angle_alpha 90.00
_cell_angle_beta 90.00
_cell_angle_gamma 120.00
_symmetry_space_group_name_H-M 'R -3 m'
_symmetry_Int_Tables_number 166
_symmetry_space_group_name_Hall '-R 3 2"'
loop_
_atom_site_label
_atom_site_fract_x
_atom_site_fract_y
_atom_site_fract_z
Co1 0.0000 0.0000 0.0000
S1 0.0000 0.0000 0.5000
Cl1 0.0000 0.0000 0.3925
```



# 8
DFT (PBE) results for a relaxed structure of CoSCl.

- E (eV per atom) = -4.57
- crystal system = orthorhombic
- formation energy (no corrections) (eV per atom) = -0.21

Geometry as CIF:
```
data_CoSCl
_chemical_formula_sum 'Co8 S8 Cl8'
_cell_length_a 6.3176
_cell_length_b 13.0609
_cell_length_c 6.1729
_cell_angle_alpha 90.00
_cell_angle_beta 90.00
_cell_angle_gamma 90.00
_symmetry_space_group_name_H-M 'C m c e'
_symmetry_Int_Tables_number 64
_symmetry_space_group_name_Hall '-C 2ac 2'
loop_
_atom_site_label
_atom_site_fract_x
_atom_site_fract_y
_atom_site_fract_z
Co1 0.0000 0.1501 0.2075
S1 0.2500 0.0502 0.2500
Cl1 0.0000 0.1982 0.8706
```